No. 1
This record from Alexandria describes a relaxed NbCuO2 crystal. The functional is GGA-PBE.

Lattice parameters (Å, degrees): 5.4309 5.4309 5.4309 90.00 90.00 90.00
With the nearest neighbours (Å) after each atom.
Space group Fm-3m (No. 225)
Asymmetric unit:
Nb (0.0000, 0.0000, 0.0000)  8 O 2.35
Cu (0.0000, 0.0000, 0.5000)  8 O 2.35
O (0.2500, 0.2500, 0.2500)  4 Nb 2.35, 4 Cu 2.35

## Properties
E, eV/atom: -6.815
Total magnetization, μB/f.u.: 0.001
Raw formation energy, eV per formula unit: -3.176

No. 2
This record from Alexandria describes a relaxed Zr2AlP crystal. The functional is GGA-PBE.

Lattice parameters (Å, degrees): 3.4582 3.4582 23.8871 90.00 90.00 120.00
With the nearest neighbours (Å) after each atom.
Space group R3m (No. 160, hexagonal axes)
Asymmetric unit:
Zr (0.0000, 0.0000, 0.0000)  9 Zr 3.12-3.46, 3 Al 3.13
Zr (0.0000, 0.0000, 0.2332)  3 P 2.67
Al (0.0000, 0.0000, 0.7673)  3 P 2.44
P (0.0000, 0.0000, 0.4924)  3 Al 2.44, 3 Zr 2.67

## Properties
Formation energy, kJ/mol of formula units: -110
E, eV/atom: -6.847
Total magnetization, μB/f.u.: 0.000

No. 3
This record from Alexandria describes a relaxed YNiH3 crystal. The functional is GGA-PBE.

Lattice parameters (Å, degrees): 3.5259 3.5259 3.5259 90.00 90.00 90.00
With the nearest neighbours (Å) after each atom.
Space group Pm-3m (No. 221)
Asymmetric unit:
Y (0.0000, 0.0000, 0.0000)  12 H 2.49
Ni (0.5000, 0.5000, 0.5000)  6 H 1.76
H (0.0000, 0.5000, 0.5000)  2 Ni 1.76

## Properties
E, eV/atom: -4.938
Total magnetization, μB/f.u.: 0.000

No. 4
This record from Alexandria describes a relaxed LiY3Ag2 crystal. The functional is GGA-PBE.

Lattice parameters (Å, degrees): 3.6587 3.6587 11.0192 90.00 90.00 90.00
With the nearest neighbours (Å) after each atom.
Space group P4/mmm (No. 123)
Asymmetric unit:
Li (0.0000, 0.0000, 0.0000)  8 Y 3.21
Y (0.5000, 0.5000, 0.1719)  4 Ag 3.12, 4 Li 3.21
Y (0.5000, 0.5000, 0.5000)  8 Ag 3.19
Ag (0.0000, 0.0000, 0.3310)  8 Y 3.12-3.19

## Properties
Formation energy, kJ/mol of formula units: -108
E, eV/atom: -4.688
Total magnetization, μB/f.u.: 0.000